LaZnMo2: optimized geometry, PBE.

Geometry as CIF:
```
data_LaZnMo2
_chemical_formula_sum 'La3 Zn3 Mo6'
_cell_length_a 3.1836
_cell_length_b 3.1836
_cell_length_c 27.3404
_cell_angle_alpha 90.00
_cell_angle_beta 90.00
_cell_angle_gamma 120.00
_space_group_name_H-M_alt 'R 3 m'
_space_group_IT_number 160
_space_group_name_Hall 'R 3 -2"'
loop_
_atom_site_label
_atom_site_fract_x
_atom_site_fract_y
_atom_site_fract_z
La1 0.0000 0.0000 0.0000
Zn1 0.0000 0.0000 0.7645
Mo1 0.0000 0.0000 0.2390
Mo2 0.0000 0.0000 0.5061
```

---

LaZnMo2: optimized geometry, PBE.

Geometry as CIF:
```
data_LaZnMo2
_chemical_formula_sum 'La1 Zn1 Mo2'
_cell_length_a 4.104
_cell_length_b 4.104
_cell_length_c 4.646
_cell_angle_alpha 90.00
_cell_angle_beta 90.00
_cell_angle_gamma 90.00
_space_group_name_H-M_alt 'P 4/m m m'
_space_group_IT_number 123
_space_group_name_Hall '-P 4 2'
loop_
_atom_site_label
_atom_site_fract_x
_atom_site_fract_y
_atom_site_fract_z
La1 0.000 0.000 0.000
Zn1 0.500 0.500 0.000
Mo1 0.000 0.500 0.500
```

---

LaZnMo2: optimized geometry, PBE.

Geometry as CIF:
```
data_LaZnMo2
_chemical_formula_sum 'La1 Zn1 Mo2'
_cell_length_a 3.486
_cell_length_b 3.486
_cell_length_c 6.806
_cell_angle_alpha 90.00
_cell_angle_beta 90.00
_cell_angle_gamma 90.00
_space_group_name_H-M_alt 'P 4/m m m'
_space_group_IT_number 123
_space_group_name_Hall '-P 4 2'
loop_
_atom_site_label
_atom_site_fract_x
_atom_site_fract_y
_atom_site_fract_z
La1 0.000 0.000 0.000
Zn1 0.000 0.000 0.500
Mo1 0.500 0.500 0.334
```

---

LaZnMo2: optimized geometry, PBE.

Geometry as CIF:
```
data_LaZnMo2
_chemical_formula_sum 'La2 Zn2 Mo4'
_cell_length_a 3.468
_cell_length_b 4.931
_cell_length_c 9.528
_cell_angle_alpha 90.00
_cell_angle_beta 90.00
_cell_angle_gamma 90.00
_space_group_name_H-M_alt 'I m m 2'
_space_group_IT_number 44
_space_group_name_Hall 'I 2 -2'
loop_
_atom_site_label
_atom_site_fract_x
_atom_site_fract_y
_atom_site_fract_z
La1 0.000 0.000 0.000
Zn1 0.000 0.500 0.217
Mo1 0.000 0.000 0.450
Mo2 0.000 0.500 0.763
```

---

no.,E_form (kcal/mol of atoms)
1,9.4
2,14.2
3,8.2
4,10.1